[1]
The following is a DFT calculation (PBE-GGA) of a relaxed Y2HoNpS6 crystal.

abc: 7.390 7.390 7.390
angles: 55.96 55.96 55.96
Positions (direct):
Y (0.000, 0.000, 0.000)
Y (0.498, 0.498, 0.498)
Ho (0.698, 0.698, 0.698)
Np (0.200, 0.200, 0.200)
S (0.097, 0.402, 0.796)
S (0.298, 0.893, 0.605)
S (0.402, 0.796, 0.097)
S (0.605, 0.298, 0.893)
S (0.796, 0.097, 0.402)
S (0.893, 0.605, 0.298)

Output
Its raw formation energy is -18.5 eV per formula unit. The total magnetization comes out at 4.0 μB per formula unit. As for the space group: R3, No. 146. The calculation puts the calculated density at 4.957 g cm⁻³. Its density of states at the Fermi level is 6.354 states/eV/f.u.

***

[2]
The following is a DFT calculation (PBE-GGA) of a relaxed Ho3NpSb4 crystal.

abc: 7.580 8.763 7.577
angles: 90.00 109.50 90.00
Positions (direct):
Ho (0.000, 0.124, 0.250)
Ho (0.000, 0.373, 0.750)
Ho (0.000, 0.627, 0.250)
Ho (0.000, 0.876, 0.750)
Ho (0.500, 0.125, 0.750)
Ho (0.500, 0.875, 0.250)
Np (0.500, 0.374, 0.250)
Np (0.500, 0.626, 0.750)
Sb (0.249, 0.124, 0.000)
Sb (0.249, 0.375, 0.500)
Sb (0.249, 0.625, 0.000)
Sb (0.249, 0.876, 0.500)
Sb (0.751, 0.124, 0.500)
Sb (0.751, 0.375, 0.000)
Sb (0.751, 0.625, 0.500)
Sb (0.751, 0.876, 0.000)

Output
Its raw formation energy is -7.0 eV per formula unit. The total magnetization comes out at 3.9 μB per formula unit. As for the space group: P2/c, No. 13. The calculation puts the calculated density at 8.532 g cm⁻³. Its density of states at the Fermi level is 11.926 states/eV/f.u.

***

[3]
The following is a DFT calculation (PBE-GGA) of a relaxed HoNp2Sb3 crystal.

abc: 4.390 4.390 18.569
angles: 90.00 90.00 90.00
Positions (direct):
Ho (0.000, 0.000, 0.000)
Ho (0.500, 0.500, 0.500)
Np (0.000, 0.000, 0.333)
Np (0.000, 0.000, 0.667)
Np (0.500, 0.500, 0.167)
Np (0.500, 0.500, 0.833)
Sb (0.000, 0.000, 0.166)
Sb (0.000, 0.000, 0.500)
Sb (0.000, 0.000, 0.834)
Sb (0.500, 0.500, 0.000)
Sb (0.500, 0.500, 0.334)
Sb (0.500, 0.500, 0.666)

Output
Its raw formation energy is -3.0 eV per formula unit. The total magnetization comes out at 7.9 μB per formula unit. As for the space group: I4/mmm, No. 139. The calculation puts the calculated density at 9.320 g cm⁻³. Its density of states at the Fermi level is 21.014 states/eV/f.u.

***

[4]
The following is a DFT calculation (PBE-GGA) of a relaxed HoNp2ScSb4 crystal.

abc: 7.488 4.326 7.531
angles: 90.00 109.37 90.00
Positions (direct):
Ho (0.000, 0.000, 0.000)
Np (0.000, 0.500, 0.500)
Np (0.500, 0.000, 0.500)
Sc (0.500, 0.500, 0.000)
Sb (0.254, 0.500, 0.243)
Sb (0.260, 0.000, 0.761)
Sb (0.740, 0.000, 0.239)
Sb (0.746, 0.500, 0.757)

Output
Its raw formation energy is -4.8 eV per formula unit. The total magnetization comes out at 7.9 μB per formula unit. As for the space group: P2/m, No. 10. The calculation puts the calculated density at 8.449 g cm⁻³. Its density of states at the Fermi level is 20.868 states/eV/f.u.

***

[5]
The following is a DFT calculation (PBE-GGA) of a relaxed HoNpSc2Sb4 crystal.

abc: 7.390 4.271 7.412
angles: 90.00 109.33 90.00
Positions (direct):
Ho (0.000, 0.000, 0.000)
Np (0.000, 0.500, 0.500)
Sc (0.500, 0.000, 0.500)
Sc (0.500, 0.500, 0.000)
Sb (0.264, 0.500, 0.254)
Sb (0.266, 0.000, 0.756)
Sb (0.734, 0.000, 0.244)
Sb (0.736, 0.500, 0.746)

Output
Its raw formation energy is -6.3 eV per formula unit. The total magnetization comes out at 3.9 μB per formula unit. As for the space group: P2/m, No. 10. The calculation puts the calculated density at 7.363 g cm⁻³. Its density of states at the Fermi level is 11.741 states/eV/f.u.

***

[6]
The following is a DFT calculation (PBE-GGA) of a relaxed Sm2HoNpSb4 crystal.

abc: 7.665 4.426 7.671
angles: 90.00 109.32 90.00
Positions (direct):
Sm (0.000, 0.000, 0.000)
Sm (0.500, 0.500, 0.000)
Ho (0.000, 0.500, 0.500)
Np (0.500, 0.000, 0.500)
Sb (0.248, 0.000, 0.743)
Sb (0.251, 0.500, 0.256)
Sb (0.749, 0.500, 0.744)
Sb (0.752, 0.000, 0.257)

Output
Its raw formation energy is -7.3 eV per formula unit. The total magnetization comes out at 3.9 μB per formula unit. As for the space group: P2/m, No. 10. The calculation puts the calculated density at 8.044 g cm⁻³. Its density of states at the Fermi level is 11.781 states/eV/f.u.

***

[7]
The following is a DFT calculation (PBE-GGA) of a relaxed SmHoNp2Sb4 crystal.

abc: 7.612 4.398 7.674
angles: 90.00 109.32 90.00
Positions (direct):
Sm (0.000, 0.000, 0.000)
Ho (0.500, 0.500, 0.000)
Np (0.000, 0.500, 0.500)
Np (0.500, 0.000, 0.500)
Sb (0.253, 0.000, 0.750)
Sb (0.254, 0.500, 0.253)
Sb (0.746, 0.500, 0.747)
Sb (0.747, 0.000, 0.250)

Output
Its raw formation energy is -5.3 eV per formula unit. The total magnetization comes out at 7.9 μB per formula unit. As for the space group: P2/m, No. 10. The calculation puts the calculated density at 8.742 g cm⁻³. Its density of states at the Fermi level is 22.487 states/eV/f.u.

***

[8]
The following is a DFT calculation (PBE-GGA) of a relaxed Tb2HoNpSb4 crystal.

abc: 7.608 4.389 7.612
angles: 90.00 109.30 90.00
Positions (direct):
Tb (0.000, 0.000, 0.000)
Tb (0.500, 0.500, 0.000)
Ho (0.000, 0.500, 0.500)
Np (0.500, 0.000, 0.500)
Sb (0.249, 0.000, 0.748)
Sb (0.249, 0.500, 0.251)
Sb (0.751, 0.000, 0.252)
Sb (0.751, 0.500, 0.749)

Output
Its raw formation energy is -7.1 eV per formula unit. The total magnetization comes out at 3.9 μB per formula unit. As for the space group: P2/m, No. 10. The calculation puts the calculated density at 8.353 g cm⁻³. Its density of states at the Fermi level is 11.648 states/eV/f.u.

***

[9]
The following is a DFT calculation (PBE-GGA) of a relaxed TbHo2NpSb4 crystal.

abc: 7.593 4.383 7.598
angles: 90.00 109.32 90.00
Positions (direct):
Tb (0.000, 0.000, 0.000)
Ho (0.500, 0.000, 0.500)
Ho (0.500, 0.500, 0.000)
Np (0.000, 0.500, 0.500)
Sb (0.252, 0.000, 0.751)
Sb (0.252, 0.500, 0.251)
Sb (0.748, 0.000, 0.249)
Sb (0.748, 0.500, 0.749)

Output
Its raw formation energy is -7.1 eV per formula unit. The total magnetization comes out at 3.9 μB per formula unit. As for the space group: P2/m, No. 10. The calculation puts the calculated density at 8.441 g cm⁻³. Its density of states at the Fermi level is 11.567 states/eV/f.u.

***

[10]
The following is a DFT calculation (PBE-GGA) of a relaxed Ho2TmNpSb4 crystal.

abc: 7.564 4.366 7.569
angles: 90.00 109.31 90.00
Positions (direct):
Ho (0.000, 0.000, 0.000)
Ho (0.500, 0.500, 0.000)
Tm (0.000, 0.500, 0.500)
Np (0.500, 0.000, 0.500)
Sb (0.248, 0.000, 0.749)
Sb (0.248, 0.500, 0.249)
Sb (0.752, 0.000, 0.251)
Sb (0.752, 0.500, 0.751)

Output
Its raw formation energy is -6.9 eV per formula unit. The total magnetization comes out at 3.9 μB per formula unit. As for the space group: P2/m, No. 10. The calculation puts the calculated density at 8.608 g cm⁻³. Its density of states at the Fermi level is 11.564 states/eV/f.u.

***

[11]
The following is a DFT calculation (PBE-GGA) of a relaxed HoTmNp2Sb4 crystal.

abc: 7.558 4.366 7.605
angles: 90.00 109.33 90.00
Positions (direct):
Ho (0.000, 0.000, 0.000)
Tm (0.500, 0.500, 0.000)
Np (0.000, 0.500, 0.500)
Np (0.500, 0.000, 0.500)
Sb (0.250, 0.500, 0.247)
Sb (0.252, 0.000, 0.754)
Sb (0.748, 0.000, 0.246)
Sb (0.750, 0.500, 0.753)

Output
Its raw formation energy is -5.1 eV per formula unit. The total magnetization comes out at 7.9 μB per formula unit. As for the space group: P2/m, No. 10. The calculation puts the calculated density at 9.078 g cm⁻³. Its density of states at the Fermi level is 21.706 states/eV/f.u.